# TaZn2CoO6, relaxed, DFT PBE with a Hubbard U
data_TaZn2CoO6
_cell_length_a 5.153
_cell_length_b 7.596
_cell_length_c 5.243
_cell_angle_alpha 90.00
_cell_angle_beta 90.75
_cell_angle_gamma 90.00
_space_group_name_H-M_alt 'P 1 21/m 1'
_space_group_IT_number 11
loop_
_space_group_symop_operation_xyz
'x,y,z'
'-x,-y,-z'
'-x,y+1/2,-z'
'x,-y+1/2,z'
loop_
_atom_site_label
_atom_site_type_symbol
_atom_site_fract_x
_atom_site_fract_y
_atom_site_fract_z
Ta1 Ta 0.000 0.000 0.000
Zn1 Zn 0.007 0.250 0.479
Zn2 Zn 0.491 0.750 0.050
Co1 Co 0.500 0.000 0.500
O1 O 0.120 0.250 0.058
O2 O 0.184 0.562 0.320
O3 O 0.321 0.562 0.813
O4 O 0.384 0.250 0.574
# E: -6.596 eV/atom